The following is a DFT calculation (PBE-GGA) of Pu2AlSi after structural relaxation.

Mass density in g/cm³: 11.6
Uncorrected formation energy in meV per atom: 35
Total moment in μB per formula unit: 9.04
Total energy in eV/atom: -9.422
N(E_F) in states/eV/atom: 2.41

abc: 2.9238 2.9238 10.5958
angles: 82.07 82.07 60.00
Each line ends with the local moment (μB).
Atoms (fractional coordinates):
Al 0.5000 0.5000 0.5000  -0.04
Pu 0.2532 0.2532 0.2404  4.52
Pu 0.7468 0.7468 0.7596  4.52
Si 0.0000 0.0000 0.0000  -0.05